DFT (GGA+U) results for an optimized crystal structure of MnGeF2.

M_tot: 4.97 μB/f.u.
E above lowest polymorph: 367 meV per atom

CIF file:
```
data_MnGeF2
_chemical_formula_sum 'Mn4 Ge4 F8'
_cell_length_a 5.761
_cell_length_b 5.761
_cell_length_c 9.602
_cell_angle_alpha 90.00
_cell_angle_beta 90.00
_cell_angle_gamma 90.00
_symmetry_space_group_name_H-M 'I -4 2 d'
_symmetry_Int_Tables_number 122
_symmetry_space_group_name_Hall 'I -4 2bw'
loop_
_atom_site_label
_atom_site_type_symbol
_atom_site_fract_x
_atom_site_fract_y
_atom_site_fract_z
_atom_site_occupancy
Mn1 Mn 0.000 0.000 0.000 1
Ge1 Ge 0.000 0.000 0.500 1
F1 F 0.127 0.250 0.125 1
```